{"formula": "Tb2GaRh3", "functional": "PBE", "state": "optimized geometry", "dft_energy_ev_per_cell": -39.57, "vol_a3_per_cell": 108.9, "sg": "No. 166", "e_above_lowest_polymorph_mev_per_atom": 0, "e_form_ev_per_atom": -0.872, "lattice": [[4.6790, -0.0456, 2.1164], [1.3476, 4.4810, 2.1164], [-0.0619, -0.0456, 5.1350]], "species": ["Tb", "Tb", "Ga", "Rh", "Rh", "Rh"], "frac_coords": [[0.3699, 0.3699, 0.3699], [0.6301, 0.6301, 0.6301], [0.0000, 0.0000, 0.0000], [0.0000, 0.0000, 0.5000], [0.5000, 0.0000, 0.0000], [0.0000, 0.5000, 0.0000]]}

=====

{"formula": "Cs2USe2Br2", "functional": "PBE", "state": "optimized geometry", "dft_energy_ev_per_cell": -33.58, "vol_a3_per_cell": 286.2, "e_form_raw_ev_per_atom": -1.47, "sg": "No. 139", "lattice": [[-2.8767, -4.7678, -0.0924], [4.5144, -2.7575, 1.7413], [-3.3650, 5.1290, 7.9402]], "species": ["Cs", "Cs", "U", "Se", "Se", "Br", "Br"], "frac_coords": [[0.3620, 0.3620, 0.7240], [0.6380, 0.6380, 0.2760], [0.0000, 0.0000, 0.0000], [0.0000, 0.5000, 0.0000], [0.5000, 0.0000, 0.0000], [0.1581, 0.1581, 0.3163], [0.8419, 0.8419, 0.6837]]}

=====

{"formula": "Ce3B4C4", "functional": "PBE", "state": "optimized geometry", "dft_energy_ev_per_cell": -82.08, "vol_a3_per_cell": 132.8, "sg": "No. 38", "e_form_ev_per_atom": -0.061, "lattice": [[2.8645, 0.0000, 0.0000], [-1.4322, 5.1654, 0.0000], [0.0000, 0.0000, 8.9777]], "species": ["Ce", "Ce", "Ce", "B", "B", "B", "B", "C", "C", "C", "C"], "frac_coords": [[0.3976, 0.7951, 0.2932], [0.3976, 0.7951, 0.7068], [0.1460, 0.2921, 0.0000], [0.7796, 0.5593, 0.5000], [0.4182, 0.8364, 0.0000], [0.1397, 0.2794, 0.6747], [0.1397, 0.2794, 0.3253], [0.6433, 0.2867, 0.7546], [0.6433, 0.2867, 0.2454], [0.2121, 0.4241, 0.5000], [0.8813, 0.7626, 0.0000]]}

=====

{"formula": "Sn3PbBr", "functional": "PBE", "state": "optimized geometry", "dft_energy_ev_per_cell": -14.53, "vol_a3_per_cell": 208.3, "e_form_raw_ev_per_atom": 0.57, "sg": "No. 221", "e_above_lowest_polymorph_mev_per_atom": 104, "lattice": [[5.9279, 0.0000, 0.0000], [0.0000, 5.9279, 0.0000], [0.0000, 0.0000, 5.9279]], "species": ["Pb", "Sn", "Sn", "Sn", "Br"], "frac_coords": [[0.0000, 0.0000, 0.0000], [0.0000, 0.5000, 0.0000], [0.0000, 0.0000, 0.5000], [0.5000, 0.0000, 0.0000], [0.5000, 0.5000, 0.5000]]}

=====

{"formula": "ZrCuPb", "functional": "PBE", "state": "optimized geometry", "dft_energy_ev_per_cell": -15.75, "vol_a3_per_cell": 65.5, "sg": "No. 156", "e_form_ev_per_atom": 0.200, "lattice": [[-3.2592, -0.1645, -0.2459], [1.8525, -2.4447, -1.1408], [-0.3149, -3.1790, 6.3013]], "species": ["Cu", "Pb", "Zr"], "frac_coords": [[0.0000, 0.0000, 0.9896], [0.6667, 0.3333, 0.3168], [0.3333, 0.6667, 0.6936]]}

=====

{"formula": "CaLaMnFe2", "functional": "PBE", "state": "optimized geometry", "dft_energy_ev_per_cell": -27.06, "vol_a3_per_cell": 120.6, "sg": "No. 123", "e_form_ev_per_atom": 1.192, "lattice": [[-0.0051, -1.6327, -4.5305], [5.1179, 0.8646, -0.3173], [0.8529, -4.4592, 1.6060]], "species": ["Ca", "Mn", "Fe", "Fe", "La"], "frac_coords": [[0.5000, 0.5000, 0.5000], [0.0000, 0.5000, 0.0000], [0.0000, 0.0000, 0.5000], [0.5000, 0.0000, 0.0000], [0.0000, 0.0000, 0.0000]]}

=====

{"formula": "Cd2GaF", "functional": "PBE", "state": "optimized geometry", "dft_energy_ev_per_cell": -8.74, "vol_a3_per_cell": 77.1, "e_form_raw_ev_per_atom": -0.50, "sg": "No. 225", "e_above_lowest_polymorph_mev_per_atom": 118, "lattice": [[0.0000, 3.3782, 3.3782], [3.3782, 0.0000, 3.3782], [3.3782, 3.3782, 0.0000]], "species": ["F", "Ga", "Cd", "Cd"], "frac_coords": [[0.0000, 0.0000, 0.0000], [0.5000, 0.5000, 0.5000], [0.2500, 0.2500, 0.2500], [0.7500, 0.7500, 0.7500]]}

=====

{"formula": "Na2MgMnI6", "functional": "PBE", "state": "optimized geometry", "dft_energy_ev_per_cell": -31.56, "vol_a3_per_cell": 352.5, "e_form_raw_ev_per_atom": -0.89, "sg": "No. 146", "lattice": [[7.7519, 0.0007, 0.0008], [3.8765, 6.7129, 0.0003], [3.8764, 2.2381, 6.7739]], "species": ["Na", "Na", "Mg", "Mn", "I", "I", "I", "I", "I", "I"], "frac_coords": [[0.5217, 0.5216, 0.4352], [0.0211, 0.0212, 0.9367], [0.8230, 0.8230, 0.5311], [0.3234, 0.3234, 0.0297], [0.5813, 0.1978, 0.2623], [0.1978, 0.9586, 0.2623], [0.9587, 0.5813, 0.2623], [0.4540, 0.6947, 0.7652], [0.6947, 0.0861, 0.7653], [0.0861, 0.4540, 0.7652]]}

=====

{"formula": "SrAc8Rh4", "functional": "PBE", "state": "optimized geometry", "dft_energy_ev_per_cell": -70.64, "vol_a3_per_cell": 503.2, "sg": "No. 12", "e_form_ev_per_atom": -0.514, "lattice": [[4.2813, 0.0000, 0.9273], [1.9367, 10.5588, 1.4055], [-0.1638, 0.0802, 11.1029]], "species": ["Sr", "Ac", "Ac", "Ac", "Ac", "Ac", "Ac", "Ac", "Ac", "Rh", "Rh", "Rh", "Rh"], "frac_coords": [[0.5156, 0.0018, 0.9670], [0.1513, 0.3242, 0.3733], [0.5566, 0.6544, 0.2324], [0.4748, 0.3490, 0.7013], [0.8802, 0.6792, 0.5604], [0.8493, 0.9908, 0.3106], [0.2231, 0.6559, 0.8979], [0.1821, 0.0126, 0.6232], [0.8083, 0.3475, 0.0358], [0.3698, 0.8300, 0.4303], [0.8510, 0.5060, 0.7919], [0.1805, 0.4974, 0.1417], [0.6616, 0.1733, 0.5036]]}

=====

{"formula": "BaNi5P3", "functional": "PBE", "state": "optimized geometry", "dft_energy_ev_per_cell": -106.13, "vol_a3_per_cell": 257.9, "sg": "No. 63", "e_form_ev_per_atom": -0.668, "lattice": [[-1.6223, 3.2191, 0.6105], [-0.7057, -1.2804, -6.0714], [-10.1539, -5.5634, 2.3535]], "species": ["Ba", "Ba", "Ni", "Ni", "Ni", "Ni", "Ni", "Ni", "Ni", "Ni", "Ni", "Ni", "P", "P", "P", "P", "P", "P"], "frac_coords": [[0.8357, 0.6715, 0.7500], [0.1643, 0.3285, 0.2500], [0.8036, 0.6072, 0.4361], [0.1964, 0.3928, 0.9361], [0.0000, 0.0000, 0.5000], [0.0000, 0.0000, 0.0000], [0.4486, 0.8972, 0.1453], [0.5514, 0.1028, 0.8547], [0.5514, 0.1028, 0.6453], [0.8036, 0.6072, 0.0639], [0.1964, 0.3928, 0.5639], [0.4486, 0.8972, 0.3547], [0.3812, 0.7624, 0.9681], [0.8884, 0.7767, 0.2500], [0.3812, 0.7624, 0.5319], [0.6188, 0.2376, 0.4681], [0.1116, 0.2233, 0.7500], [0.6188, 0.2376, 0.0319]]}

=====

{"formula": "SmThScAg", "functional": "PBE", "state": "optimized geometry", "dft_energy_ev_per_cell": -21.79, "vol_a3_per_cell": 105.7, "sg": "No. 99", "e_form_ev_per_atom": -0.118, "lattice": [[-0.9880, 0.8449, -3.3382], [3.2998, -0.7601, -1.1690], [-2.2617, -7.8088, -1.3069]], "species": ["Sm", "Th", "Sc", "Ag"], "frac_coords": [[0.5000, 0.5000, 0.7909], [0.0000, 0.0000, 0.0895], [0.5000, 0.5000, 0.3573], [0.0000, 0.0000, 0.5470]]}

=====

{"formula": "CoSi2CCl", "functional": "PBE", "state": "optimized geometry", "dft_energy_ev_per_cell": -24.38, "vol_a3_per_cell": 73.5, "e_form_raw_ev_per_atom": 0.93, "sg": "No. 123", "lattice": [[-0.7420, -0.4892, -4.3877], [3.4749, -1.0703, -0.4683], [-1.2185, -4.2538, 0.6803]], "species": ["Si", "Si", "Co", "C", "Cl"], "frac_coords": [[0.0000, 0.0000, 0.5000], [0.5000, 0.0000, 0.0000], [0.0000, 0.5000, 0.0000], [0.0000, 0.0000, 0.0000], [0.5000, 0.5000, 0.5000]]}

=====

{"formula": "NbPd3", "functional": "PBE", "state": "optimized geometry", "dft_energy_ev_per_cell": -164.05, "vol_a3_per_cell": 377.0, "sg": "No. 59", "e_form_ev_per_atom": -0.423, "lattice": [[-0.2813, 2.8573, -3.9852], [0.2314, -4.5110, -3.2506], [-13.7564, -0.9266, 0.3067]], "species": ["Nb", "Nb", "Nb", "Nb", "Nb", "Nb", "Pd", "Pd", "Pd", "Pd", "Pd", "Pd", "Pd", "Pd", "Pd", "Pd", "Pd", "Pd", "Pd", "Pd", "Pd", "Pd", "Pd", "Pd"], "frac_coords": [[0.6642, 0.5000, 0.8356], [0.3358, 0.0000, 0.6644], [0.9866, 0.0000, 0.0000], [0.3358, 0.0000, 0.3356], [0.6642, 0.5000, 0.1644], [0.0134, 0.5000, 0.5000], [0.1618, 0.7512, 0.8327], [0.8382, 0.7488, 0.3327], [0.1618, 0.7512, 0.1673], [0.5123, 0.7483, 0.5000], [0.4877, 0.7517, 0.0000], [0.1618, 0.2488, 0.8327], [0.8382, 0.7488, 0.6673], [0.3409, 0.5000, 0.6659], [0.1618, 0.2488, 0.1673], [0.6591, 0.0000, 0.1659], [0.4877, 0.2483, 0.0000], [0.8382, 0.2512, 0.6673], [0.9774, 0.5000, 0.0000], [0.3409, 0.5000, 0.3341], [0.8382, 0.2512, 0.3327], [0.6591, 0.0000, 0.8341], [0.0226, 0.0000, 0.5000], [0.5123, 0.2517, 0.5000]]}